Sm8Er6Th | Alexandria via LeMat-Bulk | PBE-GGA | relaxed; density of states at the Fermi level = 23.692 states/eV/cell; space-group type = R-3 (148); uncorrected energy = -70.7 eV for the cell shown; spin magnetization = 0.00 μB per formula unit
1.0
4.522 2.611 6.949
-4.522 2.611 6.949
0.000 -5.222 6.949
Sm Er Th
8 6 1
Cartesian
0.000 0.000 1.623
-1.798 0.834 7.548
0.177 -1.974 7.548
-1.621 -1.140 13.298
1.621 1.140 7.548
-0.177 1.974 13.298
1.798 -0.834 13.298
0.000 0.000 19.223
-2.532 -2.244 9.583
-3.210 1.071 11.264
0.678 -3.315 11.264
-0.677 3.315 9.583
3.210 -1.071 9.583
2.532 2.244 11.264
0.000 0.000 10.423